1.
A plane-wave DFT calculation with PBEsol was carried out for crystalline TePCl2 at its relaxed geometry.

Output
Total energy: -14.06 eV/cell
Energy above the lowest structure with this stoichiometry: 20 meV/atom
Space-group type: Cm

abc: 4.6721 4.6721 7.2947
angles: 92.69 92.69 47.88
Fractional coordinates of all 4 atoms:
Te 0.0000 0.0000 0.0000
P 0.6666 0.6666 0.8618
Cl 0.3257 0.3257 0.2078
Cl 0.6405 0.6405 0.5839



2.
A plane-wave DFT calculation with PBEsol was carried out for crystalline TePWCl2 at its relaxed geometry.

Output
Total energy: -19.38 eV/cell
Space-group type: P4/mmm

abc: 4.9770 4.9770 5.3680
angles: 90.00 90.00 90.00
Fractional coordinates of all 5 atoms:
Te 0.0000 0.0000 0.0000
P 0.0000 0.0000 0.5000
W 0.5000 0.5000 0.5000
Cl 0.0000 0.5000 0.0000
Cl 0.5000 0.0000 0.0000



3.
A plane-wave DFT calculation with PBEsol was carried out for crystalline YTeP2Cl at its relaxed geometry.

Output
Total energy: -23.08 eV/cell
Space-group type: P4/mmm

abc: 5.0576 5.0576 4.9076
angles: 90.00 90.00 90.00
Fractional coordinates of all 5 atoms:
Y 0.0000 0.0000 0.0000
Te 0.5000 0.5000 0.5000
P 0.0000 0.5000 0.5000
P 0.5000 0.0000 0.5000
Cl 0.5000 0.5000 0.0000



4.
A plane-wave DFT calculation with PBEsol was carried out for crystalline ZrTePCl2 at its relaxed geometry.

Output
Total energy: -24.87 eV/cell
Space-group type: P4/mmm

abc: 4.7719 4.7719 5.4144
angles: 90.00 90.00 90.00
Fractional coordinates of all 5 atoms:
Zr 0.0000 0.0000 0.0000
Te 0.5000 0.5000 0.5000
P 0.0000 0.0000 0.5000
Cl 0.0000 0.5000 0.0000
Cl 0.5000 0.0000 0.0000